[1]
# DyAsAuO (PBE-GGA, optimized geometry)
data_DyAsAuO
_symmetry_space_group_name_H-M 'P m c 21'
_symmetry_Int_Tables_number 26
_symmetry_space_group_name_Hall 'P 2c -2'
_cell_length_a 3.825
_cell_length_b 7.576
_cell_length_c 6.102
_cell_angle_alpha 90.00
_cell_angle_beta 90.00
_cell_angle_gamma 90.00
loop_
_atom_site_label
_atom_site_type_symbol
_atom_site_fract_x
_atom_site_fract_y
_atom_site_fract_z
_atom_site_occupancy
Dy1 Dy 0.000 0.223 0.000 1
As1 As 0.000 0.161 0.503 1
Au1 Au 0.500 0.367 0.529 1
O1 O 0.500 0.338 0.025 1
# * VASP energy: -5.61 eV per atom
# * calculated volume: 176.8 Å³/cell

=====

[2]
# ErAsAu (PBE-GGA, optimized geometry)
data_ErAsAu
_symmetry_space_group_name_H-M 'F -4 3 m'
_symmetry_Int_Tables_number 216
_symmetry_space_group_name_Hall 'F -4 2 3'
_cell_length_a 6.567
_cell_length_b 6.567
_cell_length_c 6.567
_cell_angle_alpha 90.00
_cell_angle_beta 90.00
_cell_angle_gamma 90.00
loop_
_atom_site_label
_atom_site_type_symbol
_atom_site_fract_x
_atom_site_fract_y
_atom_site_fract_z
_atom_site_occupancy
Er1 Er 0.000 0.000 0.000 1
As1 As 0.000 0.000 0.500 1
Au1 Au 0.250 0.250 0.750 1
# * VASP energy: -4.82 eV per atom
# * calculated volume: 283.3 Å³/cell

=====

[3]
# AsAuF6 (PBE-GGA, optimized geometry)
data_AsAuF6
_symmetry_space_group_name_H-M 'I a -3'
_symmetry_Int_Tables_number 206
_symmetry_space_group_name_Hall '-I 2b 2c 3'
_cell_length_a 9.192
_cell_length_b 9.192
_cell_length_c 9.192
_cell_angle_alpha 90.00
_cell_angle_beta 90.00
_cell_angle_gamma 90.00
loop_
_atom_site_label
_atom_site_type_symbol
_atom_site_fract_x
_atom_site_fract_y
_atom_site_fract_z
_atom_site_occupancy
As1 As 0.250 0.250 0.250 1
Au1 Au 0.000 0.000 0.000 1
F1 F 0.101 0.142 0.308 1
# * VASP energy: -3.96 eV per atom
# * calculated volume: 776.7 Å³/cell

=====

[4]
# AsAuF6 (PBE-GGA, optimized geometry)
data_AsAuF6
_symmetry_space_group_name_H-M 'F -4 3 m'
_symmetry_Int_Tables_number 216
_symmetry_space_group_name_Hall 'F -4 2 3'
_cell_length_a 7.451
_cell_length_b 7.451
_cell_length_c 7.451
_cell_angle_alpha 90.00
_cell_angle_beta 90.00
_cell_angle_gamma 90.00
loop_
_atom_site_label
_atom_site_type_symbol
_atom_site_fract_x
_atom_site_fract_y
_atom_site_fract_z
_atom_site_occupancy
As1 As 0.000 0.000 0.000 1
Au1 Au 0.250 0.250 0.750 1
F1 F 0.000 0.000 0.237 1
# * VASP energy: -3.94 eV per atom
# * calculated volume: 413.7 Å³/cell

=====

[5]
# SbAsAuF9 (PBE-GGA, optimized geometry)
data_SbAsAuF9
_symmetry_space_group_name_H-M 'P 1 21/c 1'
_symmetry_Int_Tables_number 14
_symmetry_space_group_name_Hall '-P 2ybc'
_cell_length_a 7.462
_cell_length_b 8.636
_cell_length_c 11.818
_cell_angle_alpha 90.00
_cell_angle_beta 122.26
_cell_angle_gamma 90.00
loop_
_atom_site_label
_atom_site_type_symbol
_atom_site_fract_x
_atom_site_fract_y
_atom_site_fract_z
_atom_site_occupancy
Sb1 Sb 0.172 0.169 0.435 1
As1 As 0.373 0.620 0.623 1
Au1 Au 0.121 0.700 0.412 1
F1 F 0.129 0.690 0.170 1
F2 F 0.138 0.526 0.851 1
F3 F 0.156 0.237 0.779 1
F4 F 0.175 0.126 0.997 1
F5 F 0.187 0.076 0.584 1
F6 F 0.312 0.522 0.724 1
F7 F 0.424 0.005 0.859 1
F8 F 0.470 0.172 0.514 1
F9 F 0.482 0.237 0.263 1
# * VASP energy: -4.30 eV per atom
# * calculated volume: 644.1 Å³/cell

=====

[6]
# FeGeAsAu (PBE-GGA, optimized geometry)
data_FeGeAsAu
_symmetry_space_group_name_H-M 'F -4 3 m'
_symmetry_Int_Tables_number 216
_symmetry_space_group_name_Hall 'F -4 2 3'
_cell_length_a 6.497
_cell_length_b 6.497
_cell_length_c 6.497
_cell_angle_alpha 90.00
_cell_angle_beta 90.00
_cell_angle_gamma 90.00
loop_
_atom_site_label
_atom_site_type_symbol
_atom_site_fract_x
_atom_site_fract_y
_atom_site_fract_z
_atom_site_occupancy
Fe1 Fe 0.000 0.000 0.000 1
Ge1 Ge 0.000 0.000 0.500 1
As1 As 0.250 0.250 0.250 1
Au1 Au 0.250 0.250 0.750 1
# * VASP energy: -4.83 eV per atom
# * calculated volume: 274.2 Å³/cell

=====

[7]
# FeGeAsAu (PBE-GGA, optimized geometry)
data_FeGeAsAu
_symmetry_space_group_name_H-M 'F -4 3 m'
_symmetry_Int_Tables_number 216
_symmetry_space_group_name_Hall 'F -4 2 3'
_cell_length_a 6.468
_cell_length_b 6.468
_cell_length_c 6.468
_cell_angle_alpha 90.00
_cell_angle_beta 90.00
_cell_angle_gamma 90.00
loop_
_atom_site_label
_atom_site_type_symbol
_atom_site_fract_x
_atom_site_fract_y
_atom_site_fract_z
_atom_site_occupancy
Fe1 Fe 0.000 0.000 0.000 1
Ge1 Ge 0.250 0.250 0.250 1
As1 As 0.250 0.250 0.750 1
Au1 Au 0.000 0.000 0.500 1
# * VASP energy: -4.89 eV per atom
# * calculated volume: 270.5 Å³/cell

=====

[8]
# FeHgAsAu (PBE-GGA, optimized geometry)
data_FeHgAsAu
_symmetry_space_group_name_H-M 'F -4 3 m'
_symmetry_Int_Tables_number 216
_symmetry_space_group_name_Hall 'F -4 2 3'
_cell_length_a 6.614
_cell_length_b 6.614
_cell_length_c 6.614
_cell_angle_alpha 90.00
_cell_angle_beta 90.00
_cell_angle_gamma 90.00
loop_
_atom_site_label
_atom_site_type_symbol
_atom_site_fract_x
_atom_site_fract_y
_atom_site_fract_z
_atom_site_occupancy
Fe1 Fe 0.000 0.000 0.000 1
Hg1 Hg 0.250 0.250 0.250 1
As1 As 0.250 0.250 0.750 1
Au1 Au 0.000 0.000 0.500 1
# * VASP energy: -3.70 eV per atom
# * calculated volume: 289.3 Å³/cell

=====

Question: Look up the calculated volume of the second one.
Answer: 283.3 Å³/cell